# MnBe2Hg

A relaxed structure of MnBe2Hg (GGA-PBE, the Alexandria database).

Lattice parameters (Å, degrees): 2.945 2.952 6.352 62.38 90.00 90.00
Atoms (fractional coordinates):
1 Mn 0.500 0.750 0.750
2 Hg 0.500 0.250 0.250
3 Be 0.000 0.432 0.568
4 Be 0.000 0.068 0.932

## Properties
- calculated volume (Å³/cell) = 48.93
- space group = P4/mmm, No. 123
- E (Ha/atom) = -0.147
- E_form (eV/atom) = 0.23